[1]
The following is a PBE calculation of LiGaRePdRu after structural relaxation, from Alexandria.

Values from the calculation:
As for the calculated formation energy: -0.05 eV/atom. For the uncorrected energy, the calculation gives -6.417 eV per atom. The energy above the most stable polymorph in this dataset is 106 meV/atom.

a = 2.761 Å, b = 4.424 Å, c = 6.533 Å
α = 104.32°, β = 90.21°, γ = 107.98°
Space group P1 (No. 1)
Unique sites:
Li (0.000, 0.000, 0.000)
Ga (0.936, 0.855, 0.597)
Re (0.615, 0.218, 0.378)
Pd (0.698, 0.393, 0.816)
Ru (0.314, 0.622, 0.216)


[2]
The following is a PBE calculation of PmHoTm4 after structural relaxation, from Alexandria.

Values from the calculation:
As for the calculated formation energy: 0.01 eV/atom. For the uncorrected energy, the calculation gives -4.530 eV per atom. The energy above the most stable polymorph in this dataset is 0 meV/atom.

a = 5.590 Å, b = 3.590 Å, c = 18.687 Å
α = 90.00°, β = 90.00°, γ = 90.00°
Space group Amm2 (No. 38)
Unique sites:
Pm (0.000, 0.000, 0.000)
Ho (0.500, 0.000, 0.222)
Tm (0.000, 0.000, 0.332)
Tm (0.000, 0.000, 0.668)
Tm (0.500, 0.000, 0.556)
Tm (0.500, 0.000, 0.887)


[3]
The following is a PBE calculation of HoTmTh2Bi5 after structural relaxation, from Alexandria.

Values from the calculation:
As for the calculated formation energy: 0.05 eV/atom. For the uncorrected energy, the calculation gives -4.759 eV per atom.

a = 5.408 Å, b = 5.408 Å, c = 11.663 Å
α = 90.00°, β = 90.00°, γ = 90.00°
Space group P4/mmm (No. 123)
Unique sites:
Ho (0.000, 0.000, 0.000)
Tm (0.000, 0.000, 0.500)
Th (0.500, 0.500, 0.203)
Bi (0.000, 0.000, 0.254)
Bi (0.000, 0.500, 0.000)
Bi (0.500, 0.500, 0.500)


[4]
The following is a PBE calculation of La5Hg3 after structural relaxation, from Alexandria.

Values from the calculation:
As for the calculated formation energy: -0.32 eV/atom. For the uncorrected energy, the calculation gives -3.513 eV per atom. The energy above the most stable polymorph in this dataset is 50 meV/atom.

a = 8.042 Å, b = 10.984 Å, c = 5.615 Å
α = 90.00°, β = 90.00°, γ = 90.00°
Space group Cmmm (No. 65)
Unique sites:
La (0.000, 0.000, 0.000)
La (0.216, 0.500, 0.500)
La (0.250, 0.250, 0.000)
Hg (0.000, 0.225, 0.500)
Hg (0.000, 0.500, 0.000)


[5]
The following is a PBE calculation of ZrScRe2 after structural relaxation, from Alexandria.

Values from the calculation:
As for the calculated formation energy: -0.09 eV/atom. For the uncorrected energy, the calculation gives -10.038 eV per atom.

a = 3.050 Å, b = 3.050 Å, c = 8.351 Å
α = 90.00°, β = 90.00°, γ = 90.00°
Space group P4mm (No. 99)
Unique sites:
Zr (0.000, 0.000, 0.000)
Sc (0.500, 0.500, 0.649)
Re (0.000, 0.000, 0.417)
Re (0.500, 0.500, 0.240)


[6]
The following is a PBE calculation of Ce2Pm12Ho5 after structural relaxation, from Alexandria.

Values from the calculation:
As for the calculated formation energy: 0.13 eV/atom. For the uncorrected energy, the calculation gives -4.696 eV per atom.

a = 15.743 Å, b = 9.236 Å, c = 8.749 Å
α = 90.00°, β = 92.57°, γ = 90.00°
Space group C2/m (No. 12)
Unique sites:
Ce (0.000, 0.147, 0.000)
Pm (0.060, 0.000, 0.346)
Pm (0.071, 0.500, 0.880)
Pm (0.132, 0.196, 0.692)
Pm (0.146, 0.320, 0.237)
Ho (0.000, 0.500, 0.500)
Ho (0.212, 0.000, 0.044)
Ho (0.231, 0.500, 0.564)


[7]
The following is a PBE calculation of BaPa2O7 after structural relaxation, from Alexandria.

Values from the calculation:
The value obtained for the raw formation energy is -2986 meV/atom. For the uncorrected energy, the calculation gives -8.548 eV per atom.

a = 7.025 Å, b = 10.983 Å, c = 4.277 Å
α = 90.00°, β = 90.00°, γ = 90.00°
Space group Cmmm (No. 65)
Unique sites:
Ba (0.000, 0.000, 0.000)
Pa (0.000, 0.304, 0.500)
O (0.000, 0.290, 0.000)
O (0.000, 0.500, 0.500)
O (0.186, 0.141, 0.500)


[8]
The following is a PBE calculation of ScTePb2 after structural relaxation, from Alexandria.

Values from the calculation:
The value obtained for the raw formation energy is 60 meV/atom. For the uncorrected energy, the calculation gives -4.162 eV per atom.

a = 3.4213 Å, b = 3.4213 Å, c = 33.6298 Å
α = 90.00°, β = 90.00°, γ = 120.00°
Space group R-3m (No. 166, hexagonal axes)
Unique sites:
Sc (0.0000, 0.0000, 0.0000)
Te (0.0000, 0.0000, 0.5000)
Pb (0.0000, 0.0000, 0.2555)


[9]
The following is a PBE calculation of AgTe3Pd after structural relaxation, from Alexandria.

Values from the calculation:
The value obtained for the raw formation energy is 824 meV/atom. For the uncorrected energy, the calculation gives -2.670 eV per atom. The energy above the most stable polymorph in this dataset is 996 meV/atom.

a = 5.379 Å, b = 5.379 Å, c = 5.379 Å
α = 90.00°, β = 90.00°, γ = 90.00°
Space group Pm-3m (No. 221)
Unique sites:
Ag (0.000, 0.000, 0.000)
Te (0.000, 0.000, 0.500)
Pd (0.500, 0.500, 0.500)


[10]
The following is a PBE calculation of Dy2HoErTm2 after structural relaxation, from Alexandria.

Values from the calculation:
As for the calculated formation energy: 0.16 eV/atom. For the uncorrected energy, the calculation gives -4.387 eV per atom.

a = 6.882 Å, b = 15.902 Å, c = 3.451 Å
α = 90.00°, β = 90.00°, γ = 90.00°
Space group Pnnm (No. 58)
Unique sites:
Dy (0.250, 0.158, 0.000)
Ho (0.000, 0.000, 0.500)
Er (0.000, 0.500, 0.000)
Tm (0.250, 0.346, 0.500)


[11]
The following is a PBE calculation of TmZrSc2 after structural relaxation, from Alexandria.

Values from the calculation:
As for the calculated formation energy: 0.14 eV/atom. For the uncorrected energy, the calculation gives -6.282 eV per atom. The energy above the most stable polymorph in this dataset is 106 meV/atom.

a = 7.381 Å, b = 7.381 Å, c = 7.381 Å
α = 90.00°, β = 90.00°, γ = 90.00°
Space group Fm-3m (No. 225)
Unique sites:
Tm (0.000, 0.000, 0.000)
Zr (0.000, 0.000, 0.500)
Sc (0.250, 0.250, 0.250)


[12]
The following is a PBE calculation of Ce3InFe after structural relaxation, from Alexandria.

Values from the calculation:
As for the calculated formation energy: -0.21 eV/atom. For the uncorrected energy, the calculation gives -6.010 eV per atom.

a = 5.087 Å, b = 5.087 Å, c = 5.087 Å
α = 90.00°, β = 90.00°, γ = 90.00°
Space group Pm-3m (No. 221)
Unique sites:
Ce (0.000, 0.000, 0.500)
In (0.500, 0.500, 0.500)
Fe (0.000, 0.000, 0.000)


[13]
The following is a PBE calculation of SiRuBr2 after structural relaxation, from Alexandria.

Values from the calculation:
The value obtained for the raw formation energy is 102 meV/atom. For the uncorrected energy, the calculation gives -4.409 eV per atom. The energy above the most stable polymorph in this dataset is 188 meV/atom.

a = 15.731 Å, b = 3.151 Å, c = 3.901 Å
α = 90.00°, β = 99.31°, γ = 90.00°
Space group C2/m (No. 12)
Unique sites:
Si (0.000, 0.000, 0.000)
Ru (0.000, 0.500, 0.500)
Br (0.142, 0.000, 0.712)


[14]
The following is a PBE calculation of Nd2Sm5Er12 after structural relaxation, from Alexandria.

Values from the calculation:
As for the calculated formation energy: 0.02 eV/atom. For the uncorrected energy, the calculation gives -4.605 eV per atom. The energy above the most stable polymorph in this dataset is 0 meV/atom.

a = 6.156 Å, b = 9.423 Å, c = 10.659 Å
α = 101.05°, β = 95.57°, γ = 90.08°
Space group P-1 (No. 2)
Unique sites:
Nd (0.080, 0.316, 0.474)
Sm (0.238, 0.947, 0.421)
Sm (0.341, 0.368, 0.052)
Sm (0.500, 0.000, 0.000)
Er (0.026, 0.105, 0.157)
Er (0.132, 0.526, 0.791)
Er (0.184, 0.737, 0.105)
Er (0.289, 0.158, 0.738)
Er (0.396, 0.579, 0.367)
Er (0.446, 0.789, 0.685)


[15]
The following is a PBE calculation of LiHoHgBi after structural relaxation, from Alexandria.

Values from the calculation:
As for the calculated formation energy: -0.45 eV/atom. For the uncorrected energy, the calculation gives -3.117 eV per atom.

a = 7.367 Å, b = 7.367 Å, c = 7.367 Å
α = 90.00°, β = 90.00°, γ = 90.00°
Space group F-43m (No. 216)
Unique sites:
Li (0.000, 0.000, 0.000)
Ho (0.000, 0.000, 0.500)
Hg (0.250, 0.250, 0.750)
Bi (0.250, 0.250, 0.250)


[16]
The following is a PBE calculation of Sm2CdIn2Pd5 after structural relaxation, from Alexandria.

Values from the calculation:
As for the calculated formation energy: -0.52 eV/atom. For the uncorrected energy, the calculation gives -4.697 eV per atom.

a = 10.725 Å, b = 10.725 Å, c = 3.607 Å
α = 90.00°, β = 90.00°, γ = 90.00°
Space group P4/mbm (No. 127)
Unique sites:
Sm (0.168, 0.332, 0.000)
Cd (0.000, 0.000, 0.000)
In (0.133, 0.633, 0.000)
Pd (0.000, 0.500, 0.500)
Pd (0.032, 0.798, 0.500)


[17]
The following is a PBE calculation of SmScCCl after structural relaxation, from Alexandria.

Values from the calculation:
The value obtained for the raw formation energy is -1075 meV/atom. For the uncorrected energy, the calculation gives -6.606 eV per atom.

a = 3.5477 Å, b = 3.5477 Å, c = 20.3368 Å
α = 90.00°, β = 90.00°, γ = 120.00°
Space group R3m (No. 160, hexagonal axes)
Unique sites:
Sm (0.0000, 0.0000, 0.0000)
Sc (0.0000, 0.0000, 0.2094)
C (0.0000, 0.0000, 0.5944)
Cl (0.0000, 0.0000, 0.7788)


[18]
The following is a PBE calculation of BaMnTeCl2 after structural relaxation, from Alexandria.

Values from the calculation:
The value obtained for the raw formation energy is -367 meV/atom. For the uncorrected energy, the calculation gives -3.952 eV per atom.

a = 5.619 Å, b = 5.619 Å, c = 10.940 Å
α = 90.00°, β = 90.00°, γ = 90.00°
Space group P4/mmm (No. 123)
Unique sites:
Ba (0.000, 0.000, 0.000)
Mn (0.000, 0.000, 0.500)
Te (0.500, 0.500, 0.500)
Cl (0.000, 0.500, 0.000)


[19]
The following is a PBE calculation of SmDyMgIr after structural relaxation, from Alexandria.

Values from the calculation:
As for the calculated formation energy: -0.40 eV/atom. For the uncorrected energy, the calculation gives -5.346 eV per atom.

a = 7.184 Å, b = 7.184 Å, c = 7.184 Å
α = 90.00°, β = 90.00°, γ = 90.00°
Space group F-43m (No. 216)
Unique sites:
Sm (0.000, 0.000, 0.000)
Dy (0.000, 0.000, 0.500)
Mg (0.250, 0.250, 0.250)
Ir (0.250, 0.250, 0.750)


[20]
The following is a PBE calculation of SrPtBrCl2 after structural relaxation, from Alexandria.

Values from the calculation:
The value obtained for the raw formation energy is -959 meV/atom. For the uncorrected energy, the calculation gives -3.576 eV per atom.

a = 5.018 Å, b = 5.018 Å, c = 5.285 Å
α = 90.00°, β = 90.00°, γ = 90.00°
Space group P4/mmm (No. 123)
Unique sites:
Sr (0.000, 0.000, 0.000)
Pt (0.500, 0.500, 0.500)
Br (0.500, 0.500, 0.000)
Cl (0.000, 0.500, 0.500)


[21]
The following is a PBE calculation of Li2CdS4 after structural relaxation, from Alexandria.

Values from the calculation:
The value obtained for the raw formation energy is 9 meV/atom. For the uncorrected energy, the calculation gives -3.027 eV per atom.

a = 4.758 Å, b = 4.758 Å, c = 14.461 Å
α = 90.00°, β = 90.00°, γ = 90.00°
Space group I4/mmm (No. 139)
Unique sites:
Li (0.000, 0.000, 0.096)
Cd (0.000, 0.000, 0.500)
S (0.000, 0.000, 0.261)
S (0.000, 0.500, 0.000)


[22]
The following is a PBE calculation of Ho2Ga5Cu4 after structural relaxation, from Alexandria.

Values from the calculation:
As for the calculated formation energy: -0.32 eV/atom. For the uncorrected energy, the calculation gives -4.018 eV per atom.

a = 5.470 Å, b = 9.267 Å, c = 15.047 Å
α = 90.00°, β = 90.00°, γ = 90.00°
Space group Fmmm (No. 69)
Unique sites:
Ho (0.000, 0.000, 0.140)
Ga (0.000, 0.000, 0.500)
Ga (0.250, 0.250, 0.000)
Ga (0.250, 0.250, 0.250)
Cu (0.000, 0.140, 0.365)


[23]
The following is a PBE calculation of InBi3Mo after structural relaxation, from Alexandria.

Values from the calculation:
As for the calculated formation energy: 0.53 eV/atom. For the uncorrected energy, the calculation gives -4.514 eV per atom. The energy above the most stable polymorph in this dataset is 0 meV/atom.

a = 5.444 Å, b = 5.444 Å, c = 5.444 Å
α = 90.00°, β = 90.00°, γ = 90.00°
Space group Pm-3m (No. 221)
Unique sites:
In (0.000, 0.000, 0.000)
Bi (0.000, 0.500, 0.500)
Mo (0.500, 0.500, 0.500)


[24]
The following is a PBE calculation of YCd2Ni2 after structural relaxation, from Alexandria.

Values from the calculation:
As for the calculated formation energy: -0.12 eV/atom. For the uncorrected energy, the calculation gives -4.091 eV per atom. The energy above the most stable polymorph in this dataset is 61 meV/atom.

a = 6.992 Å, b = 6.992 Å, c = 3.798 Å
α = 90.00°, β = 90.00°, γ = 90.00°
Space group P4/mbm (No. 127)
Unique sites:
Y (0.000, 0.000, 0.000)
Cd (0.162, 0.338, 0.500)
Ni (0.125, 0.625, 0.000)


[25]
The following is a PBE calculation of BaTl3 after structural relaxation, from Alexandria.

Values from the calculation:
As for the calculated formation energy: -0.30 eV/atom. For the uncorrected energy, the calculation gives -2.551 eV per atom.

a = 5.252 Å, b = 12.758 Å, c = 8.264 Å
α = 90.00°, β = 90.00°, γ = 90.00°
Space group Cmcm (No. 63)
Unique sites:
Ba (0.000, 0.089, 0.250)
Tl (0.000, 0.200, 0.750)
Tl (0.000, 0.374, 0.048)